# 1
Here is a relaxed ReWNO2 crystal from Alexandria. Energies are from GGA+U.

Cell lengths 3.8918, 3.8918, 4.0540 Å; angles 90.00, 90.00, 90.00 degrees
Fractional coordinates of all 5 atoms:
Re: 0.0000 0.0000 0.0000
O: 0.0000 0.5000 0.0000
O: 0.5000 0.0000 0.0000
W: 0.5000 0.5000 0.5000
N: 0.0000 0.0000 0.5000

E_tot = -7.65 eV/atom
Fermi-level density of states = 2.0 states/eV/f.u.
space group = No. 123



# 2
Here is a relaxed ReWNO2 crystal from Alexandria. Energies are from GGA+U.

Cell lengths 3.9168, 3.9168, 4.2002 Å; angles 90.00, 90.00, 90.00 degrees
Fractional coordinates of all 5 atoms:
Re: 0.5000 0.5000 0.5000
O: 0.0000 0.5000 0.0000
O: 0.5000 0.0000 0.0000
W: 0.0000 0.0000 0.0000
N: 0.0000 0.0000 0.5000

E_tot = -7.27 eV/atom
Fermi-level density of states = 1.6 states/eV/f.u.
space group = No. 123